# Fe2SiF8 | Alexandria via LeMat-Bulk | GGA+U | relaxed
data_Fe2SiF8
_cell_length_a 5.610
_cell_length_b 5.610
_cell_length_c 4.371
_cell_angle_alpha 90.14
_cell_angle_beta 90.14
_cell_angle_gamma 73.08
_symmetry_space_group_name_H-M 'P 1'
_symmetry_Int_Tables_number 1
loop_
_symmetry_equiv_pos_as_xyz
'x,y,z'
loop_
_atom_site_label
_atom_site_fract_x
_atom_site_fract_y
_atom_site_fract_z
_atom_site_occupancy
Fe1 0.127 0.127 0.243 1
Fe2 0.873 0.873 0.757 1
Si1 0.500 0.500 0.000 1
F1 0.099 0.099 0.742 1
F2 0.232 0.592 0.790 1
F3 0.350 0.350 0.248 1
F4 0.408 0.768 0.210 1
F5 0.592 0.232 0.790 1
F6 0.650 0.650 0.752 1
F7 0.768 0.408 0.210 1
F8 0.901 0.901 0.258 1
# * size of the total moment: 8.00 μB per formula unit
# * N(E_F): 0.000 states/eV per atom
# * final energy: -61.5 eV for the cell shown